Density functional theory data (PBE) for a relaxed Mn2InMoC crystal.

Lattice parameters (Å, degrees): 4.0650 4.0650 4.2203 90.00 90.00 90.00
Space group P4/mmm (No. 123)
Asymmetric unit:
Mn: 0.0000 0.5000 0.0000 x2
In: 0.0000 0.0000 0.5000 x1
Mo: 0.5000 0.5000 0.5000 x1
C: 0.5000 0.5000 0.0000 x1

Summary:
- Magnetization: 6.5 μB per formula unit
- N(E_F): 2.7 states/eV/f.u.
- VASP energy: -40.8 eV for the cell shown
- Calculated formation energy: 0.38 eV/f.u.
- Mass density: 7.92 g cm⁻³